Entry 1:
Density functional theory data (GGA-PBE) for an optimized crystal structure of Y2Se.

abc: 5.8780 5.8780 5.8780
angles: 108.35 108.35 111.74
Sites, in units of the cell vectors:
Y1 0.8307 0.6693 0.5000
Se1 0.2500 0.2500 0.0000
Y2 0.1693 0.3307 0.5000
Se2 0.7500 0.7500 0.0000
Y3 0.6693 0.1693 0.8386
Y4 0.3307 0.8307 0.1614

Its crystal system is tetragonal. As for the uncorrected formation energy: -1.06 eV per atom. The symmetry is I4/mcm.

Entry 2:
Density functional theory data (GGA-PBE) for an optimized crystal structure of Y8Se.

abc: 7.9975 7.9975 7.9975
angles: 94.78 94.78 146.43
Sites, in units of the cell vectors:
Y1 0.0000 0.6627 0.6627
Y2 0.6625 0.3375 0.0000
Y3 0.6627 0.0000 0.6627
Se1 0.0000 0.0000 0.0000
Y4 0.3375 0.3375 0.6751
Y5 0.6625 0.6625 0.3249
Y6 0.3373 0.0000 0.3373
Y7 0.3375 0.6625 0.0000
Y8 0.0000 0.3373 0.3373

Its crystal system is tetragonal. As for the uncorrected formation energy: -0.14 eV per atom. The symmetry is I4/mmm.

Entry 3:
Density functional theory data (GGA-PBE) for an optimized crystal structure of Y4Se.

abc: 5.4589 5.4589 5.4589
angles: 90.00 90.00 90.00
Sites, in units of the cell vectors:
Y1 0.0000 0.5000 0.5000
Se1 0.5000 0.5000 0.5000
Y2 0.0000 0.0000 0.0000
Y3 0.5000 0.0000 0.5000
Y4 0.5000 0.5000 0.0000

Its crystal system is cubic. The excess energy over the best structure of this formula in the dataset is 0.058 eV per atom. As for the uncorrected formation energy: -0.49 eV per atom. The symmetry is Pm-3m.

Entry 4:
Density functional theory data (GGA-PBE) for an optimized crystal structure of Y3Se5.

abc: 8.1680 8.1673 8.5480
angles: 100.03 100.04 129.44
Sites, in units of the cell vectors:
Y1 0.7684 0.2688 0.2035
Y2 0.5718 0.7684 0.5000
Se1 0.6862 0.1865 0.5000
Se2 0.3507 0.4646 0.7148
Se3 0.1358 0.2497 0.2852
Se4 0.1721 0.6724 0.5000
Y3 0.2679 0.0720 0.5000
Se5 0.7493 0.6362 0.2851
Se6 0.9643 0.8511 0.7149
Se7 0.6266 0.3313 0.8745
Se8 0.8310 0.1272 0.8747
Y4 0.0648 0.5653 0.7965
Y5 0.7980 0.7984 0.0000
Se9 0.4564 0.7525 0.1253
Y6 0.2980 0.2985 0.0000
Se10 0.2521 0.9568 0.1255

Its crystal system is orthorhombic. As for the uncorrected formation energy: -1.62 eV per atom. The symmetry is Fmm2.

Entry 5:
Density functional theory data (GGA-PBE) for an optimized crystal structure of Y2Se3.

abc: 14.4431 14.4431 14.4431
angles: 144.90 144.90 50.48
Sites, in units of the cell vectors:
Se1 0.8402 0.4376 0.2438
Se2 0.0746 0.8271 0.6123
Y1 0.8750 0.5083 0.1333
Y2 0.2210 0.8267 0.1258
Se3 0.3465 0.4439 0.2562
Y3 0.9158 0.4158 0.5000
Y4 0.1733 0.2991 0.3943
Y5 0.8342 0.8342 0.0000
Se4 0.5049 0.1184 0.2548
Se5 0.1729 0.7852 0.2475
Y6 0.5842 0.0842 0.5000
Se6 0.2148 0.4623 0.3877
Se7 0.1876 0.0902 0.7438
Se8 0.5771 0.3246 0.1123
Se9 0.5352 0.4229 0.7475
Se10 0.9098 0.6535 0.0974
Y7 0.3750 0.7417 0.8667
Se11 0.8816 0.1365 0.3866
Se12 0.1939 0.5965 0.7562
Y8 0.8451 0.9509 0.3742
Y9 0.7009 0.0951 0.8742
Y10 0.5290 0.1549 0.1057
Y11 0.2583 0.1250 0.6333
Se13 0.4035 0.1598 0.5974
Y12 0.0491 0.4233 0.8943
Y13 0.5767 0.4710 0.6258
Se14 0.5561 0.8124 0.9026
Y14 0.9049 0.7790 0.6057
Se15 0.8684 0.7549 0.7548
Se16 0.2123 0.4648 0.8877
Y15 0.4917 0.6250 0.3667
Se17 0.5624 0.8061 0.4026
Y16 0.1658 0.1658 0.0000
Se18 0.2451 0.9999 0.1134
Se19 0.8635 0.2501 0.7452
Se20 0.0001 0.1135 0.2452
Se21 0.8865 0.1316 0.8866
Se22 0.5377 0.9254 0.7525
Se23 0.6754 0.7877 0.2525
Se24 0.7499 0.4951 0.6134

Its crystal system is tetragonal. As for the uncorrected formation energy: -1.85 eV per atom. The symmetry is I-42d.

Entry 6:
Density functional theory data (GGA-PBE) for an optimized crystal structure of Y3Se2.

abc: 3.9382 3.9382 10.1922
angles: 78.86 78.86 60.00
Sites, in units of the cell vectors:
Se1 0.6080 0.6080 0.1759
Y1 0.7866 0.7866 0.6402
Y2 0.2134 0.2134 0.3598
Se2 0.3920 0.3920 0.8241
Y3 0.0000 0.0000 0.0000

Its crystal system is trigonal. The excess energy over the best structure of this formula in the dataset is 0.000 eV per atom. As for the uncorrected formation energy: -1.41 eV per atom. The symmetry is R-3m.

Entry 7:
Density functional theory data (GGA-PBE) for an optimized crystal structure of Y3Se4.

abc: 5.7574 5.7574 7.0035
angles: 114.27 114.27 90.00
Sites, in units of the cell vectors:
Y1 0.0000 0.0000 0.0000
Se1 0.5000 0.0000 0.0000
Se2 0.2527 0.2527 0.5055
Y2 0.2500 0.7500 0.5000
Se3 0.0000 0.5000 0.0000
Y3 0.7500 0.2500 0.5000
Se4 0.7473 0.7473 0.4945

Its crystal system is tetragonal. The excess energy over the best structure of this formula in the dataset is 0.005 eV per atom. As for the uncorrected formation energy: -1.85 eV per atom. The symmetry is I4/mmm.

Entry 8:
Density functional theory data (GGA-PBE) for an optimized crystal structure of Y2Se5.

abc: 3.9874 3.9874 21.3159
angles: 90.00 95.37 90.00
Sites, in units of the cell vectors:
Y1 0.8972 0.7500 0.7944
Y2 0.6937 0.7500 0.3874
Se1 0.8247 0.7500 0.6494
Se2 0.6240 0.7500 0.2481
Y3 0.3063 0.2500 0.6126
Se3 0.0483 0.7500 0.0967
Se4 0.3760 0.2500 0.7519
Se5 0.2500 0.7500 0.5000
Se6 0.4517 0.7500 0.9033
Se7 0.7500 0.2500 0.5000
Se8 0.1753 0.2500 0.3506
Se9 0.9517 0.2500 0.9033
Y4 0.1028 0.2500 0.2056
Se10 0.5483 0.2500 0.0967

Its crystal system is orthorhombic. As for the uncorrected formation energy: -1.35 eV per atom. The symmetry is Cmcm.

Entry 9:
Density functional theory data (GGA-PBE) for an optimized crystal structure of Y2Se3.

abc: 13.5891 12.9712 7.1067
angles: 79.34 69.73 30.93
Sites, in units of the cell vectors:
Y1 0.2527 0.2527 0.7473
Se1 0.4921 0.0079 0.0079
Se2 0.8419 0.3201 0.6641
Y2 0.9973 0.9973 0.5027
Y3 0.3339 0.3339 0.1661
Se3 0.9299 0.4081 0.0761
Y4 0.9161 0.9161 0.0839
Se4 0.0079 0.4921 0.4921
Y5 0.7473 0.7473 0.2527
Se5 0.4081 0.9299 0.5859
Se6 0.5859 0.0761 0.4081
Se7 0.2421 0.7579 0.7579
Y6 0.1661 0.1661 0.3339
Y7 0.5027 0.5027 0.9973
Se8 0.6641 0.1739 0.8419
Se9 0.3201 0.8419 0.1739
Se10 0.7579 0.2421 0.2421
Se11 0.0761 0.5859 0.9299
Y8 0.0839 0.0839 0.9161
Se12 0.1739 0.6641 0.3201

Its crystal system is orthorhombic. As for the uncorrected formation energy: -1.90 eV per atom. The symmetry is Fddd.

Entry 10:
Density functional theory data (GGA-PBE) for an optimized crystal structure of Y2Se3.

abc: 4.0361 11.0108 11.1808
angles: 90.00 90.00 90.00
Sites, in units of the cell vectors:
Se1 0.7500 0.6955 0.2736
Se2 0.7500 0.4445 0.1185
Se3 0.2500 0.8748 0.0445
Y1 0.2500 0.1879 0.4872
Y2 0.2500 0.3121 0.9872
Se4 0.7500 0.1252 0.9555
Y3 0.2500 0.9983 0.8061
Y4 0.7500 0.4983 0.6939
Y5 0.2500 0.5017 0.3061
Y6 0.7500 0.0017 0.1939
Se5 0.2500 0.9445 0.3815
Se6 0.2500 0.3045 0.7264
Y7 0.7500 0.8121 0.5128
Se7 0.2500 0.1955 0.2264
Se8 0.7500 0.3748 0.4555
Se9 0.7500 0.0555 0.6185
Y8 0.7500 0.6879 0.0128
Se10 0.7500 0.8045 0.7736
Se11 0.2500 0.6252 0.5445
Se12 0.2500 0.5555 0.8815

Its crystal system is orthorhombic. As for the uncorrected formation energy: -1.87 eV per atom. The symmetry is Pnma.

Entry 11:
Density functional theory data (GGA-PBE) for an optimized crystal structure of YZn4Se.

abc: 5.4358 5.4358 5.4358
angles: 60.00 60.00 60.00
Sites, in units of the cell vectors:
Zn1 0.8755 0.3748 0.3748
Zn2 0.3748 0.3748 0.3748
Y1 0.0000 0.0000 0.0000
Se1 0.7500 0.7500 0.7500
Zn3 0.3748 0.3748 0.8755
Zn4 0.3748 0.8755 0.3748

Its crystal system is cubic. As for the uncorrected formation energy: -0.16 eV per atom. The symmetry is F-43m.

Entry 12:
Density functional theory data (GGA-PBE) for an optimized crystal structure of Y2ZnSe.

abc: 7.8324 7.8324 7.8324
angles: 153.24 151.69 39.35
Sites, in units of the cell vectors:
Y1 0.9545 0.9545 0.0000
Zn1 0.5456 0.5456 0.0000
Y2 0.2055 0.7055 0.5000
Se1 0.7943 0.2943 0.5000

Its crystal system is orthorhombic. The excess energy over the best structure of this formula in the dataset is 0.259 eV per atom. As for the uncorrected formation energy: -0.82 eV per atom. The symmetry is Imm2.